# 1
Here is Th6CoBr15 at its PBEsol-relaxed geometry from Alexandria. Energies are from meta-GGA SCAN.

Output
M_tot ... 0.000 μB/atom
Final energy ... -921.8 eV/f.u.

a b c (Å): 9.949 9.949 9.949
angles (deg): 109.47 109.47 109.47
Positions (direct):
Th 0.000 0.239 0.239
Th 0.000 0.761 0.761
Th 0.239 0.000 0.239
Th 0.239 0.239 0.000
Th 0.761 0.000 0.761
Th 0.761 0.761 0.000
Co 0.000 0.000 0.000
Br 0.000 0.253 0.747
Br 0.000 0.500 0.500
Br 0.000 0.747 0.253
Br 0.253 0.000 0.747
Br 0.253 0.253 0.505
Br 0.253 0.505 0.253
Br 0.253 0.747 0.000
Br 0.495 0.747 0.747
Br 0.500 0.000 0.500
Br 0.500 0.500 0.000
Br 0.505 0.253 0.253
Br 0.747 0.000 0.253
Br 0.747 0.253 0.000
Br 0.747 0.495 0.747
Br 0.747 0.747 0.495

=====

# 2
Here is KGe2MoPt at its PBEsol-relaxed geometry from Alexandria. Energies are from meta-GGA SCAN.

Output
M_tot ... 0.000 μB/atom
Energy of formation ... 0.222 eV per atom
Final energy ... -150.5 eV/f.u.
Fermi-level density of states ... 3.1 states/eV/cell

a b c (Å): 4.876 4.876 4.934
angles (deg): 90.00 90.00 90.00
Positions (direct):
K 0.000 0.000 0.000
Ge 0.000 0.500 0.500
Ge 0.500 0.000 0.500
Mo 0.500 0.500 0.500
Pt 0.500 0.500 0.000